VASP calculation (PBE) on a geometry-optimized CaPuF2 structure.

The structure in CIF format:
```
data_CaPuF2
_chemical_formula_sum 'Ca3 Pu3 F6'
_cell_length_a 4.1518
_cell_length_b 4.1518
_cell_length_c 18.3797
_cell_angle_alpha 90.00
_cell_angle_beta 90.00
_cell_angle_gamma 120.00
_space_group_name_H-M_alt 'R -3 m'
_space_group_IT_number 166
_space_group_name_Hall '-R 3 2"'
loop_
_atom_site_label
_atom_site_fract_x
_atom_site_fract_y
_atom_site_fract_z
Ca1 0.0000 0.0000 0.0000
Pu1 0.0000 0.0000 0.5000
F1 0.0000 0.0000 0.1276
```

Calculated values
final energy: -7.4103 eV per atom
calculated density: 5.85 g cm⁻³


VASP calculation (PBE) on a geometry-optimized LaInCl4 structure.

The structure in CIF format:
```
data_LaInCl4
_chemical_formula_sum 'La4 In4 Cl16'
_cell_length_a 8.472
_cell_length_b 8.472
_cell_length_c 8.472
_cell_angle_alpha 90.00
_cell_angle_beta 90.00
_cell_angle_gamma 90.00
_space_group_name_H-M_alt 'F -4 3 m'
_space_group_IT_number 216
_space_group_name_Hall 'F -4 2 3'
loop_
_atom_site_label
_atom_site_fract_x
_atom_site_fract_y
_atom_site_fract_z
La1 0.000 0.000 0.000
In1 0.250 0.250 0.250
Cl1 0.125 0.125 0.625
```

Calculated values
relative energy among the computed polymorphs: 1208 meV per atom
final energy: -3.1558 eV per atom
calculated density: 4.32 g cm⁻³


VASP calculation (PBE) on a geometry-optimized Tl2FeOs structure.

The structure in CIF format:
```
data_Tl2FeOs
_chemical_formula_sum 'Tl8 Fe4 Os4'
_cell_length_a 6.730
_cell_length_b 6.730
_cell_length_c 6.730
_cell_angle_alpha 90.00
_cell_angle_beta 90.00
_cell_angle_gamma 90.00
_space_group_name_H-M_alt 'F -4 3 m'
_space_group_IT_number 216
_space_group_name_Hall 'F -4 2 3'
loop_
_atom_site_label
_atom_site_fract_x
_atom_site_fract_y
_atom_site_fract_z
Tl1 0.000 0.000 0.000
Tl2 0.250 0.250 0.250
Fe1 0.000 0.000 0.500
Os1 0.250 0.250 0.750
```

Calculated values
ΔE_f: 1.108 eV per atom
relative energy among the computed polymorphs: 562 meV per atom
final energy: -4.9983 eV per atom
calculated density: 14.27 g cm⁻³


VASP calculation (PBE) on a geometry-optimized VZn2Ni structure.

The structure in CIF format:
```
data_VZn2Ni
_chemical_formula_sum 'V4 Zn8 Ni4'
_cell_length_a 5.941
_cell_length_b 5.941
_cell_length_c 5.941
_cell_angle_alpha 90.00
_cell_angle_beta 90.00
_cell_angle_gamma 90.00
_space_group_name_H-M_alt 'F m -3 m'
_space_group_IT_number 225
_space_group_name_Hall '-F 4 2 3'
loop_
_atom_site_label
_atom_site_fract_x
_atom_site_fract_y
_atom_site_fract_z
V1 0.000 0.000 0.000
Zn1 0.250 0.250 0.250
Ni1 0.000 0.000 0.500
```

Calculated values
ΔE_f: 0.021 eV per atom
final energy: -4.3414 eV per atom
calculated density: 7.62 g cm⁻³


VASP calculation (PBE) on a geometry-optimized Ac4TlCd2Au structure.

The structure in CIF format:
```
data_Ac4TlCd2Au
_chemical_formula_sum 'Ac12 Tl3 Cd6 Au3'
_cell_length_a 5.7218
_cell_length_b 5.7218
_cell_length_c 27.9397
_cell_angle_alpha 90.00
_cell_angle_beta 90.00
_cell_angle_gamma 120.00
_space_group_name_H-M_alt 'R -3 m'
_space_group_IT_number 166
_space_group_name_Hall '-R 3 2"'
loop_
_atom_site_label
_atom_site_fract_x
_atom_site_fract_y
_atom_site_fract_z
Ac1 0.0000 0.0000 0.1198
Ac2 0.0000 0.0000 0.3703
Tl1 0.0000 0.0000 0.5000
Cd1 0.0000 0.0000 0.2454
Au1 0.0000 0.0000 0.0000
```

Calculated values
ΔE_f: -0.419 eV per atom
final energy: -3.4078 eV per atom
calculated density: 9.65 g cm⁻³


VASP calculation (PBE) on a geometry-optimized Mg5ZrAu4 structure.

The structure in CIF format:
```
data_Mg5ZrAu4
_chemical_formula_sum 'Mg5 Zr1 Au4'
_cell_length_a 3.287
_cell_length_b 3.287
_cell_length_c 17.533
_cell_angle_alpha 90.00
_cell_angle_beta 90.00
_cell_angle_gamma 90.00
_space_group_name_H-M_alt 'P 4/m m m'
_space_group_IT_number 123
_space_group_name_Hall '-P 4 2'
loop_
_atom_site_label
_atom_site_fract_x
_atom_site_fract_y
_atom_site_fract_z
Mg1 0.000 0.000 0.000
Mg2 0.000 0.000 0.189
Mg3 0.000 0.000 0.377
Zr1 0.500 0.500 0.500
Au1 0.500 0.500 0.095
Au2 0.500 0.500 0.285
```

Calculated values
ΔE_f: -0.467 eV per atom
final energy: -3.4300 eV per atom
calculated density: 8.77 g cm⁻³


VASP calculation (PBE) on a geometry-optimized NbBN3 structure.

The structure in CIF format:
```
data_NbBN3
_chemical_formula_sum 'Nb1 B1 N3'
_cell_length_a 4.090
_cell_length_b 4.090
_cell_length_c 4.090
_cell_angle_alpha 90.00
_cell_angle_beta 90.00
_cell_angle_gamma 90.00
_space_group_name_H-M_alt 'P m -3 m'
_space_group_IT_number 221
_space_group_name_Hall '-P 4 2 3'
loop_
_atom_site_label
_atom_site_fract_x
_atom_site_fract_y
_atom_site_fract_z
Nb1 0.000 0.000 0.000
B1 0.500 0.500 0.500
N1 0.000 0.000 0.500
```

Calculated values
final energy: -6.6786 eV per atom
calculated density: 3.54 g cm⁻³


VASP calculation (PBE) on a geometry-optimized TaCd2In structure.

The structure in CIF format:
```
data_TaCd2In
_chemical_formula_sum 'Ta4 Cd8 In4'
_cell_length_a 7.864
_cell_length_b 7.864
_cell_length_c 5.813
_cell_angle_alpha 90.00
_cell_angle_beta 90.00
_cell_angle_gamma 90.00
_space_group_name_H-M_alt 'I -4 2 d'
_space_group_IT_number 122
_space_group_name_Hall 'I -4 2bw'
loop_
_atom_site_label
_atom_site_fract_x
_atom_site_fract_y
_atom_site_fract_z
Ta1 0.000 0.000 0.000
Cd1 0.248 0.250 0.625
In1 0.000 0.000 0.500
```

Calculated values
ΔE_f: 0.634 eV per atom
final energy: -3.4716 eV per atom
calculated density: 9.62 g cm⁻³


VASP calculation (PBE) on a geometry-optimized Nd2SmErBi5 structure.

The structure in CIF format:
```
data_Nd2SmErBi5
_chemical_formula_sum 'Nd2 Sm1 Er1 Bi5'
_cell_length_a 5.526
_cell_length_b 5.526
_cell_length_c 11.901
_cell_angle_alpha 90.00
_cell_angle_beta 90.00
_cell_angle_gamma 90.00
_space_group_name_H-M_alt 'P 4/m m m'
_space_group_IT_number 123
_space_group_name_Hall '-P 4 2'
loop_
_atom_site_label
_atom_site_fract_x
_atom_site_fract_y
_atom_site_fract_z
Nd1 0.000 0.000 0.224
Sm1 0.500 0.500 0.000
Er1 0.500 0.500 0.500
Bi1 0.000 0.000 0.500
Bi2 0.000 0.500 0.000
Bi3 0.500 0.500 0.257
```

Calculated values
ΔE_f: -0.045 eV per atom
final energy: -4.2919 eV per atom
calculated density: 7.54 g cm⁻³


VASP calculation (PBE) on a geometry-optimized Tb2Pm12Dy structure.

The structure in CIF format:
```
data_Tb2Pm12Dy
_chemical_formula_sum 'Tb4 Pm24 Dy2'
_cell_length_a 6.585
_cell_length_b 6.585
_cell_length_c 24.979
_cell_angle_alpha 90.00
_cell_angle_beta 90.00
_cell_angle_gamma 90.00
_space_group_name_H-M_alt 'P 4/n b m'
_space_group_IT_number 125
loop_
_space_group_symop_operation_xyz
'x,y,z'
'-x,-y,-z'
'-y+1/2,x,z'
'y+1/2,-x,-z'
'-x+1/2,-y+1/2,z'
'x+1/2,y+1/2,-z'
'y,-x+1/2,z'
'-y,x+1/2,-z'
'x,-y+1/2,-z'
'-x,y+1/2,z'
'-y+1/2,-x+1/2,-z'
'y+1/2,x+1/2,z'
'-x+1/2,y,-z'
'x+1/2,-y,z'
'y,x,-z'
'-y,-x,z'
loop_
_atom_site_label
_atom_site_fract_x
_atom_site_fract_y
_atom_site_fract_z
Tb1 0.250 0.750 0.250
Pm1 0.000 0.000 0.110
Pm2 0.083 0.583 0.437
Pm3 0.250 0.250 0.210
Pm4 0.250 0.250 0.333
Dy1 0.250 0.750 0.000
```

Calculated values
ΔE_f: 0.352 eV per atom
final energy: -4.3727 eV per atom
calculated density: 6.81 g cm⁻³


VASP calculation (PBE) on a geometry-optimized KNpHg2I8 structure.

The structure in CIF format:
```
data_KNpHg2I8
_chemical_formula_sum 'K1 Np1 Hg2 I8'
_cell_length_a 7.870
_cell_length_b 8.165
_cell_length_c 10.002
_cell_angle_alpha 111.05
_cell_angle_beta 91.51
_cell_angle_gamma 97.91
_space_group_name_H-M_alt 'P -1'
_space_group_IT_number 2
_space_group_name_Hall '-P 1'
loop_
_atom_site_label
_atom_site_fract_x
_atom_site_fract_y
_atom_site_fract_z
K1 0.000 0.000 0.000
Np1 0.000 0.000 0.500
Hg1 0.470 0.676 0.199
I1 0.115 0.741 0.210
I2 0.141 0.795 0.664
I3 0.354 0.251 0.536
I4 0.423 0.272 0.054
```

Calculated values
final energy: -2.9104 eV per atom
calculated density: 4.75 g cm⁻³


VASP calculation (PBE) on a geometry-optimized NpNbPt structure.

The structure in CIF format:
```
data_NpNbPt
_chemical_formula_sum 'Np4 Nb4 Pt4'
_cell_length_a 6.165
_cell_length_b 4.172
_cell_length_c 8.395
_cell_angle_alpha 90.00
_cell_angle_beta 90.00
_cell_angle_gamma 90.00
_space_group_name_H-M_alt 'P n m a'
_space_group_IT_number 62
_space_group_name_Hall '-P 2ac 2n'
loop_
_atom_site_label
_atom_site_fract_x
_atom_site_fract_y
_atom_site_fract_z
Np1 0.091 0.250 0.040
Nb1 0.138 0.250 0.738
Pt1 0.085 0.250 0.397
```

Calculated values
ΔE_f: -0.266 eV per atom
final energy: -9.9496 eV per atom
calculated density: 16.15 g cm⁻³